Density functional theory data (PBE-GGA) for an optimized crystal structure of La3Ho4Tm2.

CIF file:
```
data_La3Ho4Tm2
_chemical_formula_sum 'La6 Ho8 Tm4'
_space_group_name_H-M_alt 'P 1'
_space_group_IT_number 1
_space_group_name_Hall 'P 1'
_cell_length_a 10.077
_cell_length_b 10.077
_cell_length_c 6.157
_cell_angle_alpha 96.13
_cell_angle_beta 96.13
_cell_angle_gamma 71.67
loop_
_atom_site_label
_atom_site_type_symbol
_atom_site_fract_x
_atom_site_fract_y
_atom_site_fract_z
La1 La 0.134 0.866 0.750
La2 La 0.200 0.464 0.918
La3 La 0.464 0.200 0.418
La4 La 0.536 0.800 0.582
La5 La 0.800 0.536 0.082
La6 La 0.866 0.134 0.250
Ho1 Ho 0.098 0.345 0.370
Ho2 Ho 0.319 0.568 0.465
Ho3 Ho 0.345 0.098 0.870
Ho4 Ho 0.432 0.681 0.035
Ho5 Ho 0.568 0.319 0.965
Ho6 Ho 0.655 0.902 0.130
Ho7 Ho 0.681 0.432 0.535
Ho8 Ho 0.902 0.655 0.630
Tm1 Tm 0.012 0.769 0.201
Tm2 Tm 0.231 0.988 0.299
Tm3 Tm 0.769 0.012 0.701
Tm4 Tm 0.988 0.231 0.799
```

## Properties
The volume is 32.69 Å³ per atom. The raw total energy is -82.121 eV per cell. The calculation puts the energy relative to the elements at 1.0 eV per formula unit.